[1]
Material: TaIn2As
Method: DFT, GGA-PBEsol
State: relaxed

## Properties
The calculation puts the formation energy at 0.283 eV per atom.

```
TaIn2As
1.0
3.0650 0.0000 0.0000
0.0000 4.8041 0.0000
0.0000 0.0000 5.3992
Ta In As
1 2 1
Direct
0.0000 0.0000 0.0000
0.5000 0.5000 0.2482
0.5000 0.5000 0.7518
0.0000 0.0000 0.5000
```

[2]
Material: SbTe2PdBr
Method: DFT, GGA-PBEsol
State: relaxed

## Properties
The raw formation energy comes out at 0.2981 eV/atom.

```
SbTe2PdBr
1.0
5.1847 0.0000 0.0000
0.0000 5.1847 0.0000
0.0000 0.0000 5.2904
Sb Te Pd Br
1 2 1 1
Direct
0.0000 0.0000 0.0000
0.0000 0.5000 0.5000
0.5000 0.0000 0.5000
0.0000 0.0000 0.5000
0.5000 0.5000 0.0000
```

[3]
Material: KY2BTe
Method: DFT, GGA-PBEsol
State: relaxed

## Properties
The raw formation energy comes out at -0.1239 eV/atom.

```
KY2BTe
1.0
4.9576 0.0000 0.0000
0.0000 4.9576 0.0000
0.0000 0.0000 5.5477
K Y B Te
1 2 1 1
Direct
0.0000 0.0000 0.0000
0.0000 0.5000 0.5000
0.5000 0.0000 0.5000
0.0000 0.0000 0.5000
0.5000 0.5000 0.0000
```

[4]
Material: RbHfGeBr2
Method: DFT, GGA-PBEsol
State: relaxed

## Properties
The raw formation energy comes out at 1.0444 eV/atom.

```
RbHfGeBr2
1.0
5.6679 0.0000 0.0000
0.0000 5.6679 0.0000
0.0000 0.0000 5.6455
Rb Hf Ge Br
1 1 1 2
Direct
0.0000 0.0000 0.0000
0.5000 0.5000 0.5000
0.0000 0.0000 0.5000
0.0000 0.5000 0.0000
0.5000 0.0000 0.0000
```

[5]
Material: KReP2C
Method: DFT, GGA-PBEsol
State: relaxed

## Properties
The calculation puts the formation energy at 4.249 eV per atom.

```
KReP2C
1.0
4.9398 0.0000 0.0000
0.0000 4.9398 0.0000
0.0000 0.0000 4.8701
K Re P C
1 1 2 1
Direct
0.0000 0.0000 0.0000
0.0000 0.0000 0.5000
0.0000 0.5000 0.0000
0.5000 0.0000 0.0000
0.5000 0.5000 0.5000
```

[6]
Material: K2SiH4N2O2
Method: DFT, GGA-PBEsol
State: relaxed

## Properties
Its total energy is -5.63 eV/atom.

```
K2SiH4N2O2
1.0
6.5988 0.0000 0.0000
0.0000 9.8039 0.0000
-0.0849 0.0000 7.5164
K Si H N O
8 4 16 8 8
Direct
0.1510 0.0631 0.3390
0.1510 0.4369 0.8390
0.1600 0.6907 0.5254
0.1600 0.8093 0.0254
0.8400 0.1907 0.9746
0.8400 0.3093 0.4746
0.8490 0.5631 0.1610
0.8490 0.9369 0.6610
0.2967 0.0783 0.7525
0.2967 0.4217 0.2525
0.7033 0.5783 0.7475
0.7033 0.9217 0.2475
0.2436 0.1911 0.0356
0.2436 0.3089 0.5356
0.4165 0.0706 0.0575
0.4165 0.4294 0.5575
0.4348 0.6241 0.9487
0.4348 0.8759 0.4487
0.4379 0.7430 0.7857
0.4379 0.7570 0.2857
0.5621 0.2430 0.7143
0.5621 0.2570 0.2143
0.5652 0.1241 0.5513
0.5652 0.3759 0.0513
0.5835 0.5706 0.4425
0.5835 0.9294 0.9425
0.7564 0.6911 0.4644
0.7564 0.8089 0.9644
0.2882 0.0966 0.9864
0.2882 0.4034 0.4864
0.4649 0.6411 0.8153
0.4649 0.8589 0.3153
0.5351 0.1411 0.6847
0.5351 0.3589 0.1847
0.7118 0.5966 0.5136
0.7118 0.9034 0.0136
0.1068 0.1679 0.6764
0.1068 0.3321 0.1764
0.2892 0.5818 0.1979
0.2892 0.9182 0.6979
0.7108 0.0818 0.3021
0.7108 0.4182 0.8021
0.8932 0.6679 0.8236
0.8932 0.8321 0.3236
```